PmReRu: relaxed, GGA-PBE.

Properties
energy relative to the lowest polymorph listed for this composition: 212 meV/atom
total DFT energy (no corrections): -8.741 eV per atom
ΔH_f (0 K): 0.084 eV per atom
total magnetic moment: 0.00 Bohr magnetons per cell

Structure (POSCAR):
```
PmReRu
1.0
3.236 0.000 0.000
0.000 4.392 0.000
0.000 0.000 8.284
Pm Ru Re
2 2 2
Direct
0.000 0.500 0.342 Pm
0.500 0.000 0.658 Pm
0.500 0.000 0.239 Ru
0.000 0.500 0.761 Ru
0.000 0.000 0.994 Re
0.500 0.500 0.006 Re
```